Crystalline CaTl3V2F9 at its relaxed geometry. Source: the Alexandria database, functional PBE+U.

Cell: 6.145 6.145 7.550 Å, 90.00 90.00 120.00°
Element x y z (fractional)
Ca  0.000  0.000  0.000
Tl  0.000  0.000  0.500
Tl  0.333  0.667  0.179
Tl  0.667  0.333  0.821
V  0.333  0.667  0.661
V  0.667  0.333  0.339
F  0.000  0.500  0.500
F  0.171  0.343  0.824
F  0.171  0.829  0.824
F  0.343  0.171  0.176
F  0.500  0.000  0.500
F  0.500  0.500  0.500
F  0.657  0.829  0.824
F  0.829  0.171  0.176
F  0.829  0.657  0.176

Summary:
As for the final energy: -79.543 eV/cell. The mass density is 6.2 g/cm³.